This record from the Alexandria database describes crystalline BaHg2BF at its relaxed geometry. The functional is PBE.

## Properties
The density of states at the Fermi level comes out at 0.97 states/eV per atom. Its space group is P4/mmm, No. 123. The value obtained for the uncorrected formation energy is 115 meV per atom.

a = 6.868 Å, b = 4.829 Å, c = 6.868 Å
α = 90.00°, β = 90.00°, γ = 90.00°
Each line ends with the local moment (μB).
Atoms (fractional coordinates):
Hg: 0.500 0.000 0.000  0.05
Hg: 0.000 0.000 0.500  0.04
B: 0.500 0.500 0.500  0.44
F: 0.000 0.500 0.000  0.01
Ba: 0.000 0.000 0.000  0.05